Record 1
Compound: Cs2YTeF6
Source: Alexandria via LeMat-Bulk
Functional: PBE
Structure: optimized geometry

Lattice parameters (Å, degrees): 7.5830 7.5830 8.8241 90.00 90.00 90.00
With the nearest neighbours (Å) after each atom.
Space group I4/mmm (No. 139)
Asymmetric unit:
Cs (0.0000, 0.5000, 0.2500) x4  12 F 3.51-3.79
Y (0.0000, 0.0000, 0.0000) x2  6 F 2.16-2.24
Te (0.0000, 0.0000, 0.5000) x2  2 F 2.17
F (0.0000, 0.0000, 0.2544) x4  1 Te 2.17, 1 Y 2.24
F (0.2014, 0.2014, 0.0000) x8  1 Y 2.16

## Properties
magnetization = 1.00 μB/f.u.
formation energy (no corrections) = -2.79 eV per atom
density = 3.9 Mg/m³



Record 2
Compound: CsThF6
Source: Alexandria via LeMat-Bulk
Functional: PBE
Structure: optimized geometry

Lattice parameters (Å, degrees): 4.2594 4.2594 24.0990 90.00 90.00 120.00
With the nearest neighbours (Å) after each atom.
Space group R-3m (No. 166, hexagonal axes)
Asymmetric unit:
Cs (0.0000, 0.0000, 0.0000) x3  14 F 3.06-3.43
Th (0.0000, 0.0000, 0.5000) x3  2 F 2.19
F (0.0000, 0.0000, 0.1423) x6  7 F 2.50-2.79, 3 Th 2.53
F (0.0000, 0.0000, 0.2461) x6  4 F 2.47-2.50
F (0.0000, 0.0000, 0.4090) x6  1 Th 2.19

## Properties
magnetization = 1.00 μB/f.u.
formation energy (no corrections) = -3.11 eV per atom
density = 6.3 Mg/m³



Record 3
Compound: CsTh2F8
Source: Alexandria via LeMat-Bulk
Functional: PBE
Structure: optimized geometry

Lattice parameters (Å, degrees): 7.4592 11.7105 4.6407 90.00 96.21 90.00
With the nearest neighbours (Å) after each atom.
Space group C2/m (No. 12)
Asymmetric unit:
Cs (0.0000, 0.0000, 0.0000) x2  12 F 3.09-3.28
Th (0.0000, 0.3273, 0.5000) x4  8 F 2.39-2.48
F (0.0000, 0.2791, 0.0000) x4  2 Th 2.39
F (0.0991, 0.5000, 0.7485) x4  2 Th 2.40, 1 F 2.60
F (0.1857, 0.1515, 0.5465) x8  2 Th 2.39-2.48, 1 F 2.55

## Properties
magnetization = 1.03 μB/f.u.
formation energy (no corrections) = -3.75 eV per atom
density = 6.2 Mg/m³



Record 4
Compound: Cs3ThF7
Source: Alexandria via LeMat-Bulk
Functional: PBE
Structure: optimized geometry

Lattice parameters (Å, degrees): 9.5407 9.2663 7.7869 90.00 124.02 90.00
With the nearest neighbours (Å) after each atom.
Space group Cm (No. 8)
Asymmetric unit:
Cs (0.0000, 0.0000, 0.0000) x2  5 F 2.94-3.06
Cs (0.4968, 0.2361, 0.4894) x4  7 F 2.97-3.20
Th (0.0365, 0.5000, 0.0168) x2  7 F 2.28-2.37
F (0.1227, 0.2894, 0.2128) x4  1 Th 2.33
F (0.1316, 0.5000, 0.8023) x2  1 Th 2.30
F (0.3354, 0.5000, 0.2386) x2  1 Th 2.37
F (0.3637, 0.1700, 0.7788) x4  1 Th 2.28
F (0.3719, 0.0000, 0.1462) x2  1 Th 2.29

## Properties
magnetization = 0.35 μB/f.u.
formation energy (no corrections) = -3.45 eV per atom
density = 4.4 Mg/m³



Record 5
Compound: Cs3TiF6
Source: Alexandria via LeMat-Bulk
Functional: PBE
Structure: optimized geometry

Lattice parameters (Å, degrees): 9.6704 9.6704 9.6704 90.00 90.00 90.00
With the nearest neighbours (Å) after each atom.
Space group Fm-3m (No. 225)
Asymmetric unit:
Cs (0.0000, 0.0000, 0.0000) x4  6 F 2.84
Cs (0.2500, 0.2500, 0.2500) x8  12 F 3.44
Ti (0.0000, 0.0000, 0.5000) x4  6 F 2.00
F (0.0000, 0.0000, 0.2933) x24  1 Ti 2.00

## Properties
magnetization = 1.00 μB/f.u.
formation energy (no corrections) = -3.02 eV per atom
density = 4.1 Mg/m³



Record 6
Compound: CsTiF2
Source: Alexandria via LeMat-Bulk
Functional: PBE
Structure: optimized geometry

Lattice parameters (Å, degrees): 6.7671 6.7671 6.7671 90.00 90.00 90.00
With the nearest neighbours (Å) after each atom.
Space group Fm-3m (No. 225)
Asymmetric unit:
Cs (0.0000, 0.0000, 0.0000) x4  8 F 2.93
Ti (0.0000, 0.0000, 0.5000) x4  8 F 2.93
F (0.2500, 0.2500, 0.2500) x8  4 Ti 2.93, 4 Cs 2.93

## Properties
magnetization = 3.00 μB/f.u.
formation energy (no corrections) = -1.23 eV per atom
density = 4.7 Mg/m³
polymorph energy (0 for the lowest one) = 821 meV/atom



Record 7
Compound: CsTiF4
Source: Alexandria via LeMat-Bulk
Functional: PBE
Structure: optimized geometry

Lattice parameters (Å, degrees): 8.2476 8.2476 4.0323 90.00 90.00 90.00
With the nearest neighbours (Å) after each atom.
Space group P4/nmm (No. 129, origin choice 2)
Asymmetric unit:
Cs (0.2500, 0.2500, 0.1593) x2  8 F 3.08-3.19
Ti (0.2500, 0.7500, 0.5000) x2  4 F 1.87
F (0.0410, 0.7500, 0.3202) x8  1 Ti 1.87

## Properties
magnetization = 1.00 μB/f.u.
formation energy (no corrections) = -3.08 eV per atom
density = 3.1 Mg/m³
polymorph energy (0 for the lowest one) = 127 meV/atom



Record 8
Compound: CsTiF4
Source: Alexandria via LeMat-Bulk
Functional: PBE
Structure: optimized geometry

Lattice parameters (Å, degrees): 5.6598 5.6624 7.8618 111.11 110.92 90.00
With the nearest neighbours (Å) after each atom.
Space group P-1 (No. 2)
Asymmetric unit:
Cs (0.2501, 0.2486, 0.9998) x2  8 F 3.15-3.21
Ti (0.0000, 0.5000, 0.5000) x1  6 F 1.94-2.01
Ti (0.5000, 0.0000, 0.5000) x1  6 F 1.94-2.01
F (0.1418, 0.6361, 0.7866) x2  1 Ti 1.94
F (0.2279, 0.7778, 0.5057) x2  2 Ti 2.01
F (0.2727, 0.2726, 0.4956) x2  2 Ti 2.01
F (0.3561, 0.8500, 0.2133) x2  1 Ti 1.94

## Properties
magnetization = 1.00 μB/f.u.
formation energy (no corrections) = -3.21 eV per atom
density = 3.9 Mg/m³
polymorph energy (0 for the lowest one) = 1 meV/atom